No. 1
{"formula": "Sc2Ga3Ru", "functional": "PBE", "state": "optimized geometry", "cell": [[4.5786, 0.0000, 0.0000], [0.0000, 5.3126, 0.0000], [0.0000, 0.0000, 9.1361]], "species": ["Sc", "Sc", "Sc", "Sc", "Ga", "Ga", "Ga", "Ga", "Ga", "Ga", "Ru", "Ru"], "frac_coords": [[0.0000, 0.0000, 0.1905], [0.0000, 0.0000, 0.8095], [0.5000, 0.5000, 0.3095], [0.5000, 0.5000, 0.6905], [0.0000, 0.5000, 0.1388], [0.0000, 0.5000, 0.5000], [0.0000, 0.5000, 0.8612], [0.5000, 0.0000, 0.0000], [0.5000, 0.0000, 0.3612], [0.5000, 0.0000, 0.6388], [0.0000, 0.0000, 0.5000], [0.5000, 0.5000, 0.0000]], "delta_e_f_mev_per_atom": -278}

No. 2
{"formula": "Ta2BeV", "functional": "PBE", "state": "optimized geometry", "cell": [[6.9381, 0.0000, 0.0000], [0.0000, 6.9381, 0.0000], [0.0000, 0.0000, 5.1959]], "species": ["Ta", "Ta", "Ta", "Ta", "Ta", "Ta", "Ta", "Ta", "Be", "Be", "Be", "Be", "V", "V", "V", "V"], "frac_coords": [[0.2279, 0.2500, 0.1250], [0.2500, 0.7279, 0.3750], [0.2500, 0.7721, 0.8750], [0.2721, 0.2500, 0.6250], [0.7279, 0.7500, 0.6250], [0.7500, 0.2279, 0.8750], [0.7500, 0.2721, 0.3750], [0.7721, 0.7500, 0.1250], [0.0000, 0.0000, 0.0000], [0.0000, 0.5000, 0.2500], [0.5000, 0.0000, 0.7500], [0.5000, 0.5000, 0.5000], [0.0000, 0.0000, 0.5000], [0.0000, 0.5000, 0.7500], [0.5000, 0.0000, 0.2500], [0.5000, 0.5000, 0.0000]], "delta_e_f_mev_per_atom": 594}

No. 3
{"formula": "LaMn2Br", "functional": "PBE", "state": "optimized geometry", "cell": [[3.5230, 0.0000, 0.0000], [-1.7615, 3.0510, 0.0000], [0.0000, 0.0000, 27.3737]], "species": ["La", "La", "La", "Mn", "Mn", "Mn", "Mn", "Mn", "Mn", "Br", "Br", "Br"], "frac_coords": [[0.0000, 0.0000, 0.0000], [0.3333, 0.6667, 0.6667], [0.6667, 0.3333, 0.3333], [0.0000, 0.0000, 0.2419], [0.0000, 0.0000, 0.7581], [0.3333, 0.6667, 0.4248], [0.3333, 0.6667, 0.9085], [0.6667, 0.3333, 0.0915], [0.6667, 0.3333, 0.5752], [0.0000, 0.0000, 0.5000], [0.3333, 0.6667, 0.1667], [0.6667, 0.3333, 0.8333]], "formation_energy_uncorrected_ev_per_atom": 0.33, "de_polymorph_kj_per_mol_fu": 155}

No. 4
{"formula": "ScMoIr2", "functional": "PBE", "state": "optimized geometry", "cell": [[2.8568, 0.0000, 0.0000], [0.0000, 2.8568, 0.0000], [0.0000, 0.0000, 8.0364]], "species": ["Sc", "Mo", "Ir", "Ir"], "frac_coords": [[0.0000, 0.0000, 0.0000], [0.5000, 0.5000, 0.7026], [0.0000, 0.0000, 0.4839], [0.5000, 0.5000, 0.2393]], "delta_e_f_mev_per_atom": -130, "de_polymorph_kj_per_mol_fu": 150}

no.,energy (eV/atom)
1,-5.448
2,-8.543
3,-5.910
4,-8.851